(1)
A plane-wave DFT calculation with PBE was carried out for a geometry-optimized K2Sb2O7 structure.

Values from the calculation:
As for the raw total energy: -5.20 eV/atom. As for the theoretical density: 4525 kg/m3. As for the spin magnetization: 0.12 μB/atom. The calculation puts the formation energy (no corrections) at -1.10 eV per atom.

```
K2Sb2O7
1.0
4.9746 -0.0021 -0.2181
0.0029 6.4919 0.0029
-0.5276 -0.0020 4.9513
K Sb O
2 2 7
direct
0.7626 0.5000 0.7626 K
0.2374 0.5000 0.2374 K
0.7256 0.0000 0.2744 Sb
0.2744 0.0000 0.7256 Sb
0.0000 0.1993 0.5000 O
0.5000 0.8007 0.0000 O
0.0000 0.8007 0.5000 O
0.5000 0.1993 0.0000 O
0.0000 0.0000 0.0000 O
0.5000 0.8101 0.5000 O
0.5000 0.1899 0.5000 O
```

(2)
A plane-wave DFT calculation with PBE was carried out for a geometry-optimized K8SbO2 structure.

Values from the calculation:
As for the raw total energy: -2.75 eV/atom. As for the theoretical density: 1761 kg/m3. As for the spin magnetization: 0.00 μB/atom. The calculation puts the formation energy (no corrections) at -0.67 eV per atom.

```
K8SbO2
1.0
-0.1912 -5.3315 1.1982
2.7315 4.4633 7.8198
-8.1287 3.7473 2.9007
K Sb O
8 1 2
direct
0.8768 0.0376 0.7168 K
0.8768 0.7168 0.0376 K
0.1259 0.6258 0.6258 K
0.5000 0.6946 0.3054 K
0.5000 0.3054 0.6946 K
0.8741 0.3742 0.3742 K
0.1232 0.2832 0.9624 K
0.1232 0.9624 0.2832 K
0.5000 0.0000 0.0000 Sb
0.0000 0.3311 0.6689 O
0.0000 0.6689 0.3311 O
```

(3)
A plane-wave DFT calculation with PBE was carried out for a geometry-optimized K2SbO4 structure.

Values from the calculation:
The energy above the most stable polymorph in this dataset is 0 meV per atom. As for the raw total energy: -5.13 eV/atom. As for the theoretical density: 3838 kg/m3. As for the spin magnetization: 0.15 μB/atom. The calculation puts the formation energy (no corrections) at -1.39 eV per atom.

```
K2SbO4
1.0
4.0948 0.0000 0.0000
0.0000 4.0948 0.0000
2.0474 2.0474 6.8106
Sb K O
1 2 4
direct
0.0000 0.0000 0.0000 Sb
0.3448 0.3448 0.3103 K
0.6552 0.6552 0.6897 K
0.1423 0.1423 0.7153 O
0.8577 0.8577 0.2847 O
0.0000 0.5000 0.0000 O
0.5000 0.0000 0.0000 O
```

(4)
A plane-wave DFT calculation with PBE was carried out for a geometry-optimized K3SbO3 structure.

Values from the calculation:
As for the raw total energy: -4.41 eV/atom. As for the theoretical density: 2700 kg/m3. As for the spin magnetization: 0.06 μB/atom. The calculation puts the formation energy (no corrections) at -1.23 eV per atom.

```
K3SbO3
1.0
-0.4158 2.3444 5.0532
-6.7180 4.5620 -2.6693
-1.2095 -7.6911 3.4687
K Sb O
6 2 6
direct
0.7500 0.3410 0.1705 K
0.7500 0.8315 0.1681 K
0.7500 0.8306 0.6622 K
0.2500 0.6590 0.8295 K
0.2500 0.1685 0.8319 K
0.2500 0.1694 0.3378 K
0.2500 0.6680 0.3336 Sb
0.7500 0.3320 0.6664 Sb
0.2500 0.3960 0.1978 O
0.2500 0.8039 0.1959 O
0.2500 0.8032 0.6067 O
0.7500 0.6040 0.8022 O
0.7500 0.1961 0.8041 O
0.7500 0.1968 0.3933 O
```

(5)
A plane-wave DFT calculation with PBE was carried out for a geometry-optimized KSb3O structure.

Values from the calculation:
The energy above the most stable polymorph in this dataset is 0 meV per atom. As for the raw total energy: -3.82 eV/atom. As for the theoretical density: 5704 kg/m3. As for the spin magnetization: 0.00 μB/atom. The calculation puts the formation energy (no corrections) at -0.14 eV per atom.

```
KSb3O
1.0
-2.5917 2.3328 3.5343
-0.7717 -4.3344 2.2950
4.1638 0.6486 2.6252
Sb K O
3 1 1
direct
0.0000 0.5000 0.0000 Sb
0.0000 0.0000 0.5000 Sb
0.5000 0.0000 0.0000 Sb
0.5000 0.5000 0.5000 K
0.0000 0.0000 0.0000 O
```

(6)
A plane-wave DFT calculation with PBE was carried out for a geometry-optimized K3SbO4 structure.

Values from the calculation:
The energy above the most stable polymorph in this dataset is 0 meV per atom. As for the raw total energy: -4.98 eV/atom. As for the theoretical density: 2998 kg/m3. As for the spin magnetization: 0.00 μB/atom. The calculation puts the formation energy (no corrections) at -1.58 eV per atom.

```
K3SbO4
1.0
8.1559 0.0000 0.0000
0.0000 9.4190 0.0000
0.0000 0.0000 8.7402
Sb K O
4 12 16
direct
0.2971 0.0056 0.7500 Sb
0.7971 0.4944 0.7500 Sb
0.7029 0.9944 0.2500 Sb
0.2029 0.5056 0.2500 Sb
0.2948 0.4846 0.7500 K
0.7948 0.0154 0.7500 K
0.7052 0.5154 0.2500 K
0.2052 0.9846 0.2500 K
0.4564 0.7396 0.0094 K
0.9564 0.7604 0.4906 K
0.5436 0.2604 0.5094 K
0.0436 0.2396 0.9906 K
0.5436 0.2604 0.9906 K
0.0436 0.2396 0.5094 K
0.4564 0.7396 0.4906 K
0.9564 0.7604 0.0094 K
0.1792 0.9605 0.5673 O
0.6792 0.5395 0.9327 O
0.8208 0.0395 0.0673 O
0.3208 0.4605 0.4327 O
0.8208 0.0395 0.4327 O
0.3208 0.4605 0.0673 O
0.1792 0.9605 0.9327 O
0.6792 0.5395 0.5673 O
0.3344 0.2069 0.7500 O
0.8344 0.2931 0.7500 O
0.6656 0.7931 0.2500 O
0.1656 0.7069 0.2500 O
0.4981 0.9006 0.7500 O
0.9981 0.5994 0.7500 O
0.5019 0.0994 0.2500 O
0.0019 0.4006 0.2500 O
```